Record 1
# TbNdHo2Tm4 (GGA-PBE, optimized geometry)
data_TbNdHo2Tm4
_space_group_name_H-M_alt 'C 1 2/c 1'
_space_group_IT_number 15
_space_group_name_Hall '-C 2yc'
_cell_length_a 13.490
_cell_length_b 13.219
_cell_length_c 6.749
_cell_angle_alpha 90.00
_cell_angle_beta 120.02
_cell_angle_gamma 90.00
loop_
_atom_site_label
_atom_site_fract_x
_atom_site_fract_y
_atom_site_fract_z
Tb1 0.000 0.000 0.000
Nd1 0.250 0.250 0.000
Ho1 0.000 0.500 0.000
Ho2 0.250 0.250 0.500
Tm1 0.000 0.251 0.001
Tm2 0.249 0.498 0.498
# Calculated formation energy in eV/atom: 0.44

Record 2
# ThScAlHg (GGA-PBE, optimized geometry)
data_ThScAlHg
_space_group_name_H-M_alt 'F -4 3 m'
_space_group_IT_number 216
_space_group_name_Hall 'F -4 2 3'
_cell_length_a 7.308
_cell_length_b 7.308
_cell_length_c 7.308
_cell_angle_alpha 90.00
_cell_angle_beta 90.00
_cell_angle_gamma 90.00
loop_
_atom_site_label
_atom_site_fract_x
_atom_site_fract_y
_atom_site_fract_z
Th1 0.000 0.000 0.000
Sc1 0.000 0.000 0.500
Al1 0.250 0.250 0.250
Hg1 0.250 0.250 0.750
# Calculated formation energy in eV/atom: -0.26

Record 3
# LaCuRe2 (GGA-PBE, optimized geometry)
data_LaCuRe2
_space_group_name_H-M_alt 'R -3 m'
_space_group_IT_number 166
_space_group_name_Hall '-R 3 2"'
_cell_length_a 2.8365
_cell_length_b 2.8365
_cell_length_c 29.9406
_cell_angle_alpha 90.00
_cell_angle_beta 90.00
_cell_angle_gamma 120.00
loop_
_atom_site_label
_atom_site_fract_x
_atom_site_fract_y
_atom_site_fract_z
La1 0.0000 0.0000 0.0000
Cu1 0.0000 0.0000 0.5000
Re1 0.0000 0.0000 0.2373
# Calculated formation energy in eV/atom: 0.80

Record 4
# CaTl2Cd (GGA-PBE, optimized geometry)
data_CaTl2Cd
_space_group_name_H-M_alt 'R 3 m'
_space_group_IT_number 160
_space_group_name_Hall 'R 3 -2"'
_cell_length_a 4.2766
_cell_length_b 4.2766
_cell_length_c 23.4973
_cell_angle_alpha 90.00
_cell_angle_beta 90.00
_cell_angle_gamma 120.00
loop_
_atom_site_label
_atom_site_fract_x
_atom_site_fract_y
_atom_site_fract_z
Ca1 0.0000 0.0000 0.0000
Tl1 0.0000 0.0000 0.4256
Tl2 0.0000 0.0000 0.5741
Cd1 0.0000 0.0000 0.8334
# Calculated formation energy in eV/atom: -0.09

Record 5
# MnPS2 (GGA-PBE, optimized geometry)
data_MnPS2
_space_group_name_H-M_alt 'R -3 m'
_space_group_IT_number 166
_space_group_name_Hall '-R 3 2"'
_cell_length_a 3.2514
_cell_length_b 3.2514
_cell_length_c 21.1165
_cell_angle_alpha 90.00
_cell_angle_beta 90.00
_cell_angle_gamma 120.00
loop_
_atom_site_label
_atom_site_fract_x
_atom_site_fract_y
_atom_site_fract_z
Mn1 0.0000 0.0000 0.0000
P1 0.0000 0.0000 0.5000
S1 0.0000 0.0000 0.0994
# Raw formation energy in eV per formula unit: 2.1

Record 6
# DyEr2Pa (GGA-PBE, optimized geometry)
data_DyEr2Pa
_space_group_name_H-M_alt 'R -3 m'
_space_group_IT_number 166
_space_group_name_Hall '-R 3 2"'
_cell_length_a 3.3137
_cell_length_b 3.3137
_cell_length_c 36.4207
_cell_angle_alpha 90.00
_cell_angle_beta 90.00
_cell_angle_gamma 120.00
loop_
_atom_site_label
_atom_site_fract_x
_atom_site_fract_y
_atom_site_fract_z
Dy1 0.0000 0.0000 0.0000
Er1 0.0000 0.0000 0.4124
Pa1 0.0000 0.0000 0.5000
# Calculated formation energy in eV/atom: 0.27

| no. | electronic total energy (eV/atom) |
| --- | --- |
| 1 | -4.110 |
| 2 | -4.714 |
| 3 | -7.681 |
| 4 | -2.000 |
| 5 | -5.186 |
| 6 | -5.533 |